## Hf3HPd (GGA-PBE)

Data for a relaxed structure of Hf3HPd.

Values from the calculation:
Total magnetization in μB/f.u.: 0.00
Energy in eV/atom: -7.914
Energy relative to the lowest polymorph listed for this composition in meV per atom: 34
DOS at the Fermi energy in states/eV per cell: 5.80

Lattice parameters (Å, degrees): 7.598 7.598 3.131 90.00 90.00 112.62
Atoms (fractional coordinates):
Hf (0.158, 0.401, 0.500)
Hf (0.223, 0.777, 0.000)
Hf (0.401, 0.158, 0.500)
Hf (0.599, 0.842, 0.500)
Hf (0.777, 0.223, 0.000)
Hf (0.842, 0.599, 0.500)
H (0.000, 0.500, 0.000)
H (0.500, 0.000, 0.000)
Pd (0.000, 0.000, 0.500)
Pd (0.500, 0.500, 0.000)